A relaxed ScCdIn crystal, computed with PBE.

The calculation puts the theoretical density at 6.68 Mg/m³. The total energy is -43.34 eV for the cell shown.

```
data_ScCdIn
_chemical_formula_sum 'Sc4 Cd4 In4'
_symmetry_space_group_name_H-M 'I m m m'
_symmetry_Int_Tables_number 71
_symmetry_space_group_name_Hall '-I 2 2'
_cell_length_a 4.853
_cell_length_b 6.606
_cell_length_c 8.443
_cell_angle_alpha 90.00
_cell_angle_beta 90.00
_cell_angle_gamma 90.00
loop_
_atom_site_label
_atom_site_type_symbol
_atom_site_fract_x
_atom_site_fract_y
_atom_site_fract_z
Sc1 Sc 0.000 0.250 0.000
Cd1 Cd 0.000 0.000 0.336
In1 In 0.000 0.500 0.331
```

=====

A relaxed Sc9CdIn2 crystal, computed with PBE.

The calculation puts the theoretical density at 4.48 Mg/m³. The total energy is -66.19 eV for the cell shown.

```
data_Sc9CdIn2
_chemical_formula_sum 'Sc9 Cd1 In2'
_symmetry_space_group_name_H-M 'P 4/m m m'
_symmetry_Int_Tables_number 123
_symmetry_space_group_name_Hall '-P 4 2'
_cell_length_a 4.519
_cell_length_b 4.519
_cell_length_c 13.555
_cell_angle_alpha 90.00
_cell_angle_beta 90.00
_cell_angle_gamma 90.00
loop_
_atom_site_label
_atom_site_type_symbol
_atom_site_fract_x
_atom_site_fract_y
_atom_site_fract_z
Sc1 Sc 0.000 0.000 0.000
Sc2 Sc 0.000 0.000 0.333
Sc3 Sc 0.000 0.500 0.166
Sc4 Sc 0.000 0.500 0.500
Cd1 Cd 0.500 0.500 0.000
In1 In 0.500 0.500 0.333
```

=====

A relaxed ScCdIn crystal, computed with PBE.

The calculation puts the theoretical density at 6.34 Mg/m³. The total energy is -20.82 eV for the cell shown.

```
data_ScCdIn
_chemical_formula_sum 'Sc2 Cd2 In2'
_symmetry_space_group_name_H-M 'P 4/n m m'
_symmetry_Int_Tables_number 129
_cell_length_a 4.354
_cell_length_b 4.354
_cell_length_c 7.525
_cell_angle_alpha 90.00
_cell_angle_beta 90.00
_cell_angle_gamma 90.00
loop_
_symmetry_equiv_pos_as_xyz
'x,y,z'
'-x,-y,-z'
'-y+1/2,x,z'
'y+1/2,-x,-z'
'-x+1/2,-y+1/2,z'
'x+1/2,y+1/2,-z'
'y,-x+1/2,z'
'-y,x+1/2,-z'
'x+1/2,-y,-z'
'-x+1/2,y,z'
'-y,-x,-z'
'y,x,z'
'-x,y+1/2,-z'
'x,-y+1/2,z'
'y+1/2,x+1/2,-z'
'-y+1/2,-x+1/2,z'
loop_
_atom_site_label
_atom_site_type_symbol
_atom_site_fract_x
_atom_site_fract_y
_atom_site_fract_z
Sc1 Sc 0.250 0.250 0.176
Cd1 Cd 0.250 0.250 0.789
In1 In 0.250 0.750 0.500
```

=====

A relaxed Sc2CdIn crystal, computed with PBE.

The calculation puts the theoretical density at 5.77 Mg/m³. The total energy is -34.82 eV for the cell shown. Its excess energy over the best structure of this formula in the dataset is 105 meV per atom.

```
data_Sc2CdIn
_chemical_formula_sum 'Sc4 Cd2 In2'
_symmetry_space_group_name_H-M 'I m m 2'
_symmetry_Int_Tables_number 44
_symmetry_space_group_name_Hall 'I 2 -2'
_cell_length_a 3.535
_cell_length_b 4.955
_cell_length_c 10.416
_cell_angle_alpha 90.00
_cell_angle_beta 90.00
_cell_angle_gamma 90.00
loop_
_atom_site_label
_atom_site_type_symbol
_atom_site_fract_x
_atom_site_fract_y
_atom_site_fract_z
Sc1 Sc 0.000 0.000 0.000
Sc2 Sc 0.000 0.500 0.242
Cd1 Cd 0.000 0.500 0.751
In1 In 0.000 0.000 0.480
```

=====

| no. | total magnetic moment (μB/f.u.) |
| --- | --- |
| 1 | 0.000 |
| 2 | 4.050 |
| 3 | 0.000 |
| 4 | 0.000 |